Below is an optimized crystal structure of NaMg2B, with properties calculated at the PBE level.

Calculated values
Formation enthalpy at 0 K in meV per atom: 615.0
Mass density in g/cm3: 1.13
Space group: No. 141
Total DFT energy (no corrections) in Ry per atom: -0.1603
Total moment in μB/f.u.: 0.0

abc: 7.375 7.375 7.375
angles: 128.05 128.05 76.54
Fractional positions:
Na 0.375 0.625 0.750
Na 0.625 0.375 0.250
Mg 0.000 0.000 0.000
Mg 0.000 0.000 0.500
Mg 0.000 0.500 0.000
Mg 0.500 0.000 0.500
B 0.125 0.875 0.250
B 0.875 0.125 0.750

Below is an optimized crystal structure of Pu2BiI2, with properties calculated at the PBE level.

Calculated values
Mass density in g/cm3: 7.96
Space group: No. 166
Total DFT energy (no corrections) in Ry per atom: -0.5819
Total moment in μB/f.u.: 11.0

abc: 11.540 11.540 11.540
angles: 22.55 22.55 22.55
Fractional positions:
Pu 0.112 0.112 0.112
Pu 0.888 0.888 0.888
Bi 0.500 0.500 0.500
I 0.277 0.277 0.277
I 0.723 0.723 0.723